Entry 1
# BePtAu (PBE, optimized geometry)
# Magnetic moment   0.000 μB per atom
# Density of states at the Fermi level   0.65 states/eV/f.u.
# Symmetry   I4mm (107)
data_BePtAu
_cell_length_a 5.467
_cell_length_b 5.467
_cell_length_c 2.861
_cell_angle_alpha 74.84
_cell_angle_beta 74.84
_cell_angle_gamma 30.34
_space_group_name_H-M_alt 'P 1'
_space_group_IT_number 1
loop_
_space_group_symop_operation_xyz
'x,y,z'
loop_
_atom_site_label
_atom_site_type_symbol
_atom_site_fract_x
_atom_site_fract_y
_atom_site_fract_z
_atom_site_occupancy
Be1 Be 0.680 0.680 0.320 1
Au1 Au 0.018 0.018 0.982 1
Pt1 Pt 0.301 0.302 0.699 1

***

Entry 2
# BePtAu (PBE, optimized geometry)
# Magnetic moment   0.000 μB per atom
# Density of states at the Fermi level   0.59 states/eV/f.u.
# Symmetry   F-43m (216)
data_BePtAu
_cell_length_a 3.970
_cell_length_b 3.970
_cell_length_c 3.970
_cell_angle_alpha 60.00
_cell_angle_beta 60.00
_cell_angle_gamma 60.00
_space_group_name_H-M_alt 'P 1'
_space_group_IT_number 1
loop_
_space_group_symop_operation_xyz
'x,y,z'
loop_
_atom_site_label
_atom_site_type_symbol
_atom_site_fract_x
_atom_site_fract_y
_atom_site_fract_z
_atom_site_occupancy
Au1 Au 0.500 0.500 0.500 1
Pt1 Pt 0.000 0.000 0.000 1
Be1 Be 0.750 0.750 0.750 1

***

Entry 3
# BePtAu (PBE, optimized geometry)
# Magnetic moment   0.000 μB per atom
# Density of states at the Fermi level   0.76 states/eV/f.u.
# Symmetry   C2/m (12)
data_BePtAu
_cell_length_a 2.799
_cell_length_b 7.480
_cell_length_c 23.193
_cell_angle_alpha 165.06
_cell_angle_beta 90.00
_cell_angle_gamma 100.78
_space_group_name_H-M_alt 'P 1'
_space_group_IT_number 1
loop_
_space_group_symop_operation_xyz
'x,y,z'
loop_
_atom_site_label
_atom_site_type_symbol
_atom_site_fract_x
_atom_site_fract_y
_atom_site_fract_z
_atom_site_occupancy
Au1 Au 0.307 0.613 0.741 1
Au2 Au 0.693 0.387 0.259 1
Be1 Be 0.329 0.658 0.249 1
Be2 Be 0.671 0.342 0.751 1
Pt1 Pt 0.070 0.140 0.769 1
Pt2 Pt 0.930 0.860 0.231 1

***

Which is most stable? The ranking, best first, is entry 1, entry 3, entry 2.

***

Entry 1
# Be2Pt2Au (PBE, optimized geometry)
# Magnetic moment   0.000 μB per atom
# Density of states at the Fermi level   2.11 states/eV/f.u.
# Symmetry   I4/mmm (139)
data_Be2Pt2Au
_cell_length_a 3.523
_cell_length_b 3.523
_cell_length_c 6.274
_cell_angle_alpha 73.70
_cell_angle_beta 73.70
_cell_angle_gamma 90.00
_space_group_name_H-M_alt 'P 1'
_space_group_IT_number 1
loop_
_space_group_symop_operation_xyz
'x,y,z'
loop_
_atom_site_label
_atom_site_type_symbol
_atom_site_fract_x
_atom_site_fract_y
_atom_site_fract_z
_atom_site_occupancy
Be1 Be 0.250 0.750 0.500 1
Be2 Be 0.750 0.250 0.500 1
Pt1 Pt 0.376 0.376 0.248 1
Pt2 Pt 0.624 0.624 0.752 1
Au1 Au 0.000 0.000 0.000 1

***

Entry 2
# Be2Pt2Au (PBE, optimized geometry)
# Magnetic moment   0.000 μB per atom
# Density of states at the Fermi level   1.42 states/eV/f.u.
# Symmetry   P4/mbm (127)
data_Be2Pt2Au
_cell_length_a 6.859
_cell_length_b 6.859
_cell_length_c 2.778
_cell_angle_alpha 90.00
_cell_angle_beta 90.00
_cell_angle_gamma 90.00
_space_group_name_H-M_alt 'P 1'
_space_group_IT_number 1
loop_
_space_group_symop_operation_xyz
'x,y,z'
loop_
_atom_site_label
_atom_site_type_symbol
_atom_site_fract_x
_atom_site_fract_y
_atom_site_fract_z
_atom_site_occupancy
Pt1 Pt 0.348 0.152 0.500 1
Pt2 Pt 0.652 0.848 0.500 1
Pt3 Pt 0.152 0.652 0.500 1
Pt4 Pt 0.848 0.348 0.500 1
Au1 Au 0.000 0.000 0.000 1
Au2 Au 0.500 0.500 0.000 1
Be1 Be 0.861 0.639 0.000 1
Be2 Be 0.639 0.139 0.000 1
Be3 Be 0.139 0.361 0.000 1
Be4 Be 0.361 0.861 0.000 1

***

Entry 3
# Be2Pt2Au (PBE, optimized geometry)
# Magnetic moment   0.000 μB per atom
# Density of states at the Fermi level   1.67 states/eV/f.u.
# Symmetry   P4/mbm (127)
data_Be2Pt2Au
_cell_length_a 7.045
_cell_length_b 7.045
_cell_length_c 2.732
_cell_angle_alpha 90.00
_cell_angle_beta 90.00
_cell_angle_gamma 90.00
_space_group_name_H-M_alt 'P 1'
_space_group_IT_number 1
loop_
_space_group_symop_operation_xyz
'x,y,z'
loop_
_atom_site_label
_atom_site_type_symbol
_atom_site_fract_x
_atom_site_fract_y
_atom_site_fract_z
_atom_site_occupancy
Pt1 Pt 0.359 0.859 0.000 1
Pt2 Pt 0.859 0.641 0.000 1
Pt3 Pt 0.641 0.141 0.000 1
Pt4 Pt 0.141 0.359 0.000 1
Be1 Be 0.655 0.845 0.500 1
Be2 Be 0.155 0.655 0.500 1
Be3 Be 0.845 0.345 0.500 1
Be4 Be 0.345 0.155 0.500 1
Au1 Au 0.500 0.500 0.000 1
Au2 Au 0.000 0.000 0.000 1

***

Which is most stable? The ranking, best first, is entry 2, entry 3, entry 1.

***

Entry 1
# ZrBePt2Au (PBE, optimized geometry)
# Magnetic moment   0.000 μB per atom
# Density of states at the Fermi level   2.99 states/eV/f.u.
# Symmetry   P4/mmm (123)
data_ZrBePt2Au
_cell_length_a 4.964
_cell_length_b 5.203
_cell_length_c 4.964
_cell_angle_alpha 90.00
_cell_angle_beta 90.00
_cell_angle_gamma 90.00
_space_group_name_H-M_alt 'P 1'
_space_group_IT_number 1
loop_
_space_group_symop_operation_xyz
'x,y,z'
loop_
_atom_site_label
_atom_site_type_symbol
_atom_site_fract_x
_atom_site_fract_y
_atom_site_fract_z
_atom_site_occupancy
Au1 Au 0.000 0.500 0.000 1
Pt1 Pt 0.500 0.000 0.000 1
Pt2 Pt 0.000 0.000 0.500 1
Be1 Be 0.500 0.500 0.500 1
Zr1 Zr 0.000 0.000 0.000 1

***

Entry 2
# ZrBePt2Au (PBE, optimized geometry)
# Magnetic moment   0.000 μB per atom
# Density of states at the Fermi level   2.55 states/eV/f.u.
# Symmetry   P4/mmm (123)
data_ZrBePt2Au
_cell_length_a 4.952
_cell_length_b 4.577
_cell_length_c 4.952
_cell_angle_alpha 90.00
_cell_angle_beta 90.00
_cell_angle_gamma 90.00
_space_group_name_H-M_alt 'P 1'
_space_group_IT_number 1
loop_
_space_group_symop_operation_xyz
'x,y,z'
loop_
_atom_site_label
_atom_site_type_symbol
_atom_site_fract_x
_atom_site_fract_y
_atom_site_fract_z
_atom_site_occupancy
Be1 Be 0.000 0.500 0.000 1
Au1 Au 0.500 0.500 0.500 1
Zr1 Zr 0.000 0.000 0.000 1
Pt1 Pt 0.000 0.000 0.500 1
Pt2 Pt 0.500 0.000 0.000 1

***

Which is most stable? The ranking, best first, is entry 2, entry 1.

***

Entry 1
# PuBeAu (PBE, optimized geometry)
# Magnetic moment   1.898 μB per atom
# Density of states at the Fermi level   11.50 states/eV/f.u.
# Symmetry   P-6m2 (187)
data_PuBeAu
_cell_length_a 3.894
_cell_length_b 4.205
_cell_length_c 4.205
_cell_angle_alpha 120.00
_cell_angle_beta 90.00
_cell_angle_gamma 90.00
_space_group_name_H-M_alt 'P 1'
_space_group_IT_number 1
loop_
_space_group_symop_operation_xyz
'x,y,z'
loop_
_atom_site_label
_atom_site_type_symbol
_atom_site_fract_x
_atom_site_fract_y
_atom_site_fract_z
_atom_site_occupancy
Au1 Au 0.167 0.333 0.667 1
Pu1 Pu 0.667 0.667 0.333 1
Be1 Be 0.166 0.000 0.000 1

***

Entry 2
# PuBeAu (PBE, optimized geometry)
# Magnetic moment   1.881 μB per atom
# Density of states at the Fermi level   8.79 states/eV/f.u.
# Symmetry   C2/m (12)
data_PuBeAu
_cell_length_a 4.190
_cell_length_b 5.730
_cell_length_c 5.453
_cell_angle_alpha 76.89
_cell_angle_beta 67.41
_cell_angle_gamma 68.56
_space_group_name_H-M_alt 'P 1'
_space_group_IT_number 1
loop_
_space_group_symop_operation_xyz
'x,y,z'
loop_
_atom_site_label
_atom_site_type_symbol
_atom_site_fract_x
_atom_site_fract_y
_atom_site_fract_z
_atom_site_occupancy
Be1 Be 0.139 0.302 0.421 1
Be2 Be 0.861 0.698 0.579 1
Pu1 Pu 0.427 0.312 0.834 1
Pu2 Pu 0.573 0.688 0.166 1
Au1 Au 0.807 0.105 0.281 1
Au2 Au 0.193 0.895 0.719 1

***

Which is most stable? The ranking, best first, is entry 2, entry 1.

***

Entry 1
# RbBe3Au (PBE, optimized geometry)
# Magnetic moment   0.000 μB per atom
# Density of states at the Fermi level   0.21 states/eV/f.u.
# Symmetry   Pm-3m (221)
data_RbBe3Au
_cell_length_a 6.304
_cell_length_b 6.304
_cell_length_c 6.304
_cell_angle_alpha 90.00
_cell_angle_beta 90.00
_cell_angle_gamma 90.00
_space_group_name_H-M_alt 'P 1'
_space_group_IT_number 1
loop_
_space_group_symop_operation_xyz
'x,y,z'
loop_
_atom_site_label
_atom_site_type_symbol
_atom_site_fract_x
_atom_site_fract_y
_atom_site_fract_z
_atom_site_occupancy
Be1 Be 0.000 0.000 0.500 1
Be2 Be 0.500 0.000 0.000 1
Be3 Be 0.000 0.500 0.000 1
Rb1 Rb 0.000 0.000 0.000 1
Au1 Au 0.500 0.500 0.500 1

***

Entry 2
# RbBe3Au (PBE, optimized geometry)
# Magnetic moment   0.000 μB per atom
# Density of states at the Fermi level   0.04 states/eV/f.u.
# Symmetry   Pm-3m (221)
data_RbBe3Au
_cell_length_a 4.583
_cell_length_b 4.583
_cell_length_c 4.583
_cell_angle_alpha 90.00
_cell_angle_beta 90.00
_cell_angle_gamma 90.00
_space_group_name_H-M_alt 'P 1'
_space_group_IT_number 1
loop_
_space_group_symop_operation_xyz
'x,y,z'
loop_
_atom_site_label
_atom_site_type_symbol
_atom_site_fract_x
_atom_site_fract_y
_atom_site_fract_z
_atom_site_occupancy
Rb1 Rb 0.500 0.500 0.500 1
Be1 Be 0.000 0.500 0.000 1
Be2 Be 0.000 0.000 0.500 1
Be3 Be 0.500 0.000 0.000 1
Au1 Au 0.000 0.000 0.000 1

***

Which is most stable? The ranking, best first, is entry 2, entry 1.